(1)
Density functional theory data (PBE-GGA) for an optimized crystal structure of GdCoSe2.

Cell and atoms, written as POSCAR:
```
GdCoSe2
1.0
1.8195 1.0505 8.0948
-1.8195 1.0505 8.0948
0.0000 -2.1009 8.0948
Gd Co Se
1 1 2
direct
0.0000 0.0000 0.0000 Gd
0.5000 0.5000 0.5000 Co
0.1173 0.1173 0.1173 Se
0.8827 0.8827 0.8827 Se
```

Properties
raw formation energy = -0.37 eV/atom
symmetry = No. 166

(2)
Density functional theory data (PBE-GGA) for an optimized crystal structure of GdCo2Si2.

Cell and atoms, written as POSCAR:
```
GdCo2Si2
1.0
-1.9457 1.9457 4.9153
1.9457 -1.9457 4.9153
1.9457 1.9457 -4.9153
Gd Co Si
1 2 2
direct
0.0000 0.0000 0.0000 Gd
0.2500 0.7500 0.5000 Co
0.7500 0.2500 0.5000 Co
0.3709 0.3709 0.0000 Si
0.6291 0.6291 0.0000 Si
```

Properties
raw formation energy = -0.81 eV/atom
symmetry = No. 139

(3)
Density functional theory data (PBE-GGA) for an optimized crystal structure of GdCoSi2.

Cell and atoms, written as POSCAR:
```
GdCoSi2
1.0
1.9473 1.1243 5.0514
-1.9473 1.1243 5.0514
0.0000 -2.2485 5.0514
Gd Co Si
1 1 2
direct
0.0000 0.0000 0.0000 Gd
0.5000 0.5000 0.5000 Co
0.2074 0.2074 0.2074 Si
0.7926 0.7926 0.7926 Si
```

Properties
raw formation energy = -0.77 eV/atom
symmetry = No. 166

(4)
Density functional theory data (PBE-GGA) for an optimized crystal structure of GdCo4Si.

Cell and atoms, written as POSCAR:
```
GdCo4Si
1.0
5.0718 0.0000 0.0000
-2.5359 4.3923 0.0000
0.0000 0.0000 3.7287
Gd Co Si
1 4 1
direct
0.0000 0.0000 0.0000 Gd
0.9998 0.4999 0.5000 Co
0.5001 0.0002 0.5000 Co
0.5001 0.4999 0.5000 Co
0.6667 0.3333 0.0000 Co
0.3333 0.6667 0.0000 Si
```

Properties
raw formation energy = -0.35 eV/atom
symmetry = No. 187

(5)
Density functional theory data (PBE-GGA) for an optimized crystal structure of Gd2CoSi.

Cell and atoms, written as POSCAR:
```
Gd2CoSi
1.0
0.0000 3.4712 3.4712
3.4712 0.0000 3.4712
3.4712 3.4712 0.0000
Gd Co Si
2 1 1
direct
0.2500 0.2500 0.2500 Gd
0.7500 0.7500 0.7500 Gd
0.0000 0.0000 0.0000 Co
0.5000 0.5000 0.5000 Si
```

Properties
E above lowest polymorph = 21 meV/atom
raw formation energy = -0.30 eV/atom
symmetry = No. 225

(6)
Density functional theory data (PBE-GGA) for an optimized crystal structure of Gd2CoSi.

Cell and atoms, written as POSCAR:
```
Gd2CoSi
1.0
4.8259 0.0000 0.0000
0.0000 4.8259 0.0000
0.0000 0.0000 3.6120
Gd Co Si
2 1 1
direct
0.0000 0.5000 0.0000 Gd
0.5000 0.0000 0.0000 Gd
0.0000 0.0000 0.5000 Co
0.5000 0.5000 0.5000 Si
```

Properties
E above lowest polymorph = 0 meV/atom
raw formation energy = -0.32 eV/atom
symmetry = No. 123

(7)
Density functional theory data (PBE-GGA) for an optimized crystal structure of GdCo2Si.

Cell and atoms, written as POSCAR:
```
GdCo2Si
1.0
1.9914 1.1498 4.7614
-1.9914 1.1498 4.7614
0.0000 -2.2995 4.7614
Gd Co Si
1 2 1
direct
0.0000 0.0000 0.0000 Gd
0.1940 0.1940 0.1940 Co
0.8060 0.8060 0.8060 Co
0.5000 0.5000 0.5000 Si
```

Properties
raw formation energy = -0.49 eV/atom
symmetry = No. 166

(8)
Density functional theory data (PBE-GGA) for an optimized crystal structure of GdCoSi3.

Cell and atoms, written as POSCAR:
```
GdCoSi3
1.0
-2.0353 2.0353 4.7812
2.0353 -2.0353 4.7812
2.0353 2.0353 -4.7812
Gd Co Si
1 1 3
direct
0.0000 0.0000 0.0000 Gd
0.3433 0.3433 0.0000 Co
0.2422 0.7422 0.5000 Si
0.5754 0.5754 0.0000 Si
0.7422 0.2422 0.5000 Si
```

Properties
raw formation energy = -0.69 eV/atom
symmetry = No. 107

(9)
Density functional theory data (PBE-GGA) for an optimized crystal structure of SmGdCo4.

Cell and atoms, written as POSCAR:
```
SmGdCo4
1.0
0.0000 3.6191 3.6191
3.6191 0.0000 3.6191
3.6191 3.6191 0.0000
Sm Gd Co
1 1 4
direct
0.0000 0.0000 0.0000 Sm
0.2500 0.2500 0.2500 Gd
0.1256 0.6248 0.6248 Co
0.6248 0.1256 0.6248 Co
0.6248 0.6248 0.1256 Co
0.6248 0.6248 0.6248 Co
```

Properties
energy relative to the elements = -0.136 eV/atom
symmetry = No. 216

(10)
Density functional theory data (PBE-GGA) for an optimized crystal structure of SmGdTlCo.

Cell and atoms, written as POSCAR:
```
SmGdTlCo
1.0
0.0000 3.6704 3.6704
3.6704 0.0000 3.6704
3.6704 3.6704 0.0000
Sm Gd Tl Co
1 1 1 1
direct
0.0000 0.0000 0.0000 Sm
0.5000 0.5000 0.5000 Gd
0.7500 0.7500 0.7500 Tl
0.2500 0.2500 0.2500 Co
```

Properties
energy relative to the elements = -0.094 eV/atom
symmetry = No. 216

(11)
Density functional theory data (PBE-GGA) for an optimized crystal structure of Gd3CoSn.

Cell and atoms, written as POSCAR:
```
Gd3CoSn
1.0
5.1482 0.0000 0.0000
0.0000 5.1482 0.0000
0.0000 0.0000 5.1482
Gd Co Sn
3 1 1
direct
0.0000 0.0000 0.5000 Gd
0.0000 0.5000 0.0000 Gd
0.5000 0.0000 0.0000 Gd
0.0000 0.0000 0.0000 Co
0.5000 0.5000 0.5000 Sn
```

Properties
energy relative to the elements = -0.352 eV/atom
symmetry = No. 221

(12)
Density functional theory data (PBE-GGA) for an optimized crystal structure of Gd2CoSn.

Cell and atoms, written as POSCAR:
```
Gd2CoSn
1.0
0.0000 3.6252 3.6252
3.6252 0.0000 3.6252
3.6252 3.6252 0.0000
Gd Co Sn
2 1 1
direct
0.2500 0.2500 0.2500 Gd
0.7500 0.7500 0.7500 Gd
0.0000 0.0000 0.0000 Co
0.5000 0.5000 0.5000 Sn
```

Properties
E above lowest polymorph = 72 meV/atom
energy relative to the elements = -0.325 eV/atom
symmetry = No. 225

(13)
Density functional theory data (PBE-GGA) for an optimized crystal structure of Gd2CoSn.

Cell and atoms, written as POSCAR:
```
Gd2CoSn
1.0
1.8615 1.0747 9.5398
-1.8615 1.0747 9.5398
0.0000 -2.1495 9.5398
Gd Co Sn
2 1 1
direct
0.1122 0.1122 0.1122 Gd
0.8878 0.8878 0.8878 Gd
0.5000 0.5000 0.5000 Co
0.0000 0.0000 0.0000 Sn
```

Properties
E above lowest polymorph = 384 meV/atom
energy relative to the elements = -0.012 eV/atom
symmetry = No. 166

(14)
Density functional theory data (PBE-GGA) for an optimized crystal structure of Gd2CoSn.

Cell and atoms, written as POSCAR:
```
Gd2CoSn
1.0
3.4046 0.0000 0.0000
0.0000 3.4046 0.0000
0.0000 0.0000 8.0081
Gd Co Sn
2 1 1
direct
0.0000 0.0000 0.2095 Gd
0.0000 0.0000 0.7905 Gd
0.5000 0.5000 0.0000 Co
0.5000 0.5000 0.5000 Sn
```

Properties
E above lowest polymorph = 0 meV/atom
energy relative to the elements = -0.396 eV/atom
symmetry = No. 123

(15)
Density functional theory data (PBE-GGA) for an optimized crystal structure of TbGdCoSn.

Cell and atoms, written as POSCAR:
```
TbGdCoSn
1.0
0.0000 3.6206 3.6206
3.6206 0.0000 3.6206
3.6206 3.6206 0.0000
Tb Gd Co Sn
1 1 1 1
direct
0.0000 0.0000 0.0000 Tb
0.5000 0.5000 0.5000 Gd
0.2500 0.2500 0.2500 Co
0.7500 0.7500 0.7500 Sn
```

Properties
energy relative to the elements = -0.292 eV/atom
symmetry = No. 216

(16)
Density functional theory data (PBE-GGA) for an optimized crystal structure of SrGd3Co.

Cell and atoms, written as POSCAR:
```
SrGd3Co
1.0
5.4298 0.0000 0.0000
0.0000 5.4298 0.0000
0.0000 0.0000 5.4298
Sr Gd Co
1 3 1
direct
0.0000 0.0000 0.0000 Sr
0.0000 0.5000 0.5000 Gd
0.5000 0.0000 0.5000 Gd
0.5000 0.5000 0.0000 Gd
0.5000 0.5000 0.5000 Co
```

Properties
energy relative to the elements = -0.027 eV/atom
symmetry = No. 221

(17)
Density functional theory data (PBE-GGA) for an optimized crystal structure of SrGd2Co.

Cell and atoms, written as POSCAR:
```
SrGd2Co
1.0
1.9927 1.1505 9.6810
-1.9927 1.1505 9.6810
0.0000 -2.3010 9.6810
Sr Gd Co
1 2 1
direct
0.0000 0.0000 0.0000 Sr
0.2150 0.2150 0.2150 Gd
0.7850 0.7850 0.7850 Gd
0.5000 0.5000 0.5000 Co
```

Properties
E above lowest polymorph = 0 meV/atom
energy relative to the elements = -0.036 eV/atom
symmetry = No. 166

(18)
Density functional theory data (PBE-GGA) for an optimized crystal structure of SrGd2Co.

Cell and atoms, written as POSCAR:
```
SrGd2Co
1.0
3.4892 0.0000 0.0000
0.0000 3.4892 0.0000
0.0000 0.0000 9.8147
Sr Gd Co
1 2 1
direct
0.0000 0.0000 0.0000 Sr
0.5000 0.5000 0.3385 Gd
0.5000 0.5000 0.6615 Gd
0.0000 0.0000 0.5000 Co
```

Properties
E above lowest polymorph = 57 meV/atom
energy relative to the elements = 0.021 eV/atom
symmetry = No. 123

(19)
Density functional theory data (PBE-GGA) for an optimized crystal structure of GdTaCo4.

Cell and atoms, written as POSCAR:
```
GdTaCo4
1.0
0.0000 3.4699 3.4699
3.4699 0.0000 3.4699
3.4699 3.4699 0.0000
Gd Ta Co
1 1 4
direct
0.0000 0.0000 0.0000 Gd
0.7500 0.7500 0.7500 Ta
0.3754 0.3754 0.3754 Co
0.3754 0.3754 0.8739 Co
0.3754 0.8739 0.3754 Co
0.8739 0.3754 0.3754 Co
```

Properties
energy relative to the elements = -0.058 eV/atom
symmetry = No. 216

(20)
Density functional theory data (PBE-GGA) for an optimized crystal structure of GdTaCo2.

Cell and atoms, written as POSCAR:
```
GdTaCo2
1.0
3.0954 0.0000 0.0000
0.0000 3.0954 0.0000
0.0000 0.0000 6.9337
Gd Ta Co
1 1 2
direct
0.0000 0.0000 0.0000 Gd
0.0000 0.0000 0.5000 Ta
0.5000 0.5000 0.3035 Co
0.5000 0.5000 0.6965 Co
```

Properties
energy relative to the elements = -0.142 eV/atom
symmetry = No. 123

(21)
Density functional theory data (PBE-GGA) for an optimized crystal structure of TbGdCo4.

Cell and atoms, written as POSCAR:
```
TbGdCo4
1.0
0.0000 3.5945 3.5945
3.5945 0.0000 3.5945
3.5945 3.5945 0.0000
Tb Gd Co
1 1 4
direct
0.0000 0.0000 0.0000 Tb
0.7500 0.7500 0.7500 Gd
0.3749 0.3749 0.3749 Co
0.3749 0.3749 0.8752 Co
0.3749 0.8752 0.3749 Co
0.8752 0.3749 0.3749 Co
```

Properties
energy relative to the elements = -0.162 eV/atom
symmetry = No. 216

(22)
Density functional theory data (PBE-GGA) for an optimized crystal structure of TbGdTlCo.

Cell and atoms, written as POSCAR:
```
TbGdTlCo
1.0
0.0000 3.6382 3.6382
3.6382 0.0000 3.6382
3.6382 3.6382 0.0000
Tb Gd Tl Co
1 1 1 1
direct
0.0000 0.0000 0.0000 Tb
0.5000 0.5000 0.5000 Gd
0.7500 0.7500 0.7500 Tl
0.2500 0.2500 0.2500 Co
```

Properties
energy relative to the elements = -0.114 eV/atom
symmetry = No. 216

(23)
Density functional theory data (PBE-GGA) for an optimized crystal structure of TbGdZnCo.

Cell and atoms, written as POSCAR:
```
TbGdZnCo
1.0
0.0000 3.4754 3.4754
3.4754 0.0000 3.4754
3.4754 3.4754 0.0000
Tb Gd Zn Co
1 1 1 1
direct
0.0000 0.0000 0.0000 Tb
0.5000 0.5000 0.5000 Gd
0.7500 0.7500 0.7500 Zn
0.2500 0.2500 0.2500 Co
```

Properties
energy relative to the elements = -0.206 eV/atom
symmetry = No. 216

(24)
Density functional theory data (PBE-GGA) for an optimized crystal structure of GdZrCoTc.

Cell and atoms, written as POSCAR:
```
GdZrCoTc
1.0
0.0000 3.3179 3.3179
3.3179 0.0000 3.3179
3.3179 3.3179 0.0000
Gd Zr Co Tc
1 1 1 1
direct
0.0000 0.0000 0.0000 Gd
0.5000 0.5000 0.5000 Zr
0.2500 0.2500 0.2500 Co
0.7500 0.7500 0.7500 Tc
```

Properties
energy relative to the elements = -0.106 eV/atom
symmetry = No. 216

(25)
Density functional theory data (PBE-GGA) for an optimized crystal structure of Gd2CoTe.

Cell and atoms, written as POSCAR:
```
Gd2CoTe
1.0
2.0288 1.1713 7.2769
-2.0288 1.1713 7.2769
0.0000 -2.3427 7.2769
Gd Co Te
2 1 1
direct
0.2355 0.2355 0.2355 Gd
0.7645 0.7645 0.7645 Gd
0.5000 0.5000 0.5000 Co
0.0000 0.0000 0.0000 Te
```

Properties
raw formation energy = -0.65 eV/atom
symmetry = No. 166

In order of appearance, calculated total energy = -7.410 -8.635 -8.774 -8.341 -10.475 -10.496 -8.924 -8.176 -8.006 -7.162 -11.023 -10.142 -9.830 -10.214 -7.747 -10.233 -9.273 -9.216 -9.117 -10.178 -8.018 -7.159 -6.979 -10.131 -10.249 eV/atom.